# 1
Computed, not measured: a geometry-optimized BeNbGa2 structure at the PBE level of DFT.

Geometry as extended XYZ:
```
8
Lattice="6.842 0.000 0.000 0.000 6.842 0.000 3.421 3.421 2.578" Properties=species:S:1:pos:R:3 pbc="T T T"
Nb 0.000 0.000 0.000
Nb 6.842 3.421 1.289
Ga 2.061 5.132 0.644
Ga 8.553 8.202 1.933
Ga 5.132 5.482 1.933
Ga 4.781 1.711 0.644
Be 3.421 3.421 0.000
Be 3.421 6.842 1.289
```

Values from the calculation:
Total magnetic moment = 0.00 μB per cell
Energy relative to the elements = 0.273 eV/f.u.

=====

# 2
Computed, not measured: a geometry-optimized Be3Nb3Ga structure at the PBE level of DFT.

Geometry as extended XYZ:
```
14
Lattice="0.329 -3.330 -1.086 2.265 -0.154 -4.538 10.550 -2.129 4.022" Properties=species:S:1:pos:R:3 pbc="T T T"
Ga 8.591 -2.210 -2.017
Ga 4.553 -3.402 0.415
Be 4.526 -3.833 -3.967
Be 5.587 -1.405 0.302
Be 7.556 -4.207 -1.904
Be 1.355 -3.173 -1.255
Be 11.789 -2.439 -0.347
Be 8.618 -1.779 2.365
Nb 10.611 -3.287 1.895
Nb 2.532 -2.326 -3.497
Nb 3.029 -1.345 -0.657
Nb 10.114 -4.268 -0.945
Nb 7.658 -3.082 0.373
Nb 5.486 -2.530 -1.975
```

Values from the calculation:
Total magnetic moment = 0.00 μB per cell
Energy relative to the elements = -1.642 eV/f.u.

=====

# 3
Computed, not measured: a geometry-optimized BeNb2Ga2 structure at the PBE level of DFT.

Geometry as extended XYZ:
```
10
Lattice="-1.035 3.739 -5.133 -6.112 -1.997 -0.223 -1.085 3.049 2.440" Properties=species:S:1:pos:R:3 pbc="T T T"
Nb -5.489 -0.405 -1.935
Nb -1.658 2.147 -3.421
Nb -2.246 -0.083 -0.895
Nb -4.901 1.825 -4.461
Be -3.573 0.871 -2.678
Be 0.000 0.000 0.000
Ga -4.669 0.787 0.306
Ga -3.563 4.004 -3.223
Ga -6.412 2.256 -2.305
Ga -1.820 2.535 -0.611
```

Values from the calculation:
Energy relative to the lowest polymorph listed for this composition = 139 meV/atom
Total magnetic moment = 0.00 μB per cell
Energy relative to the elements = 0.356 eV/f.u.

=====

# 4
Computed, not measured: a geometry-optimized Be2Nb2Ga structure at the PBE level of DFT.

Geometry as extended XYZ:
```
10
Lattice="6.131 0.000 0.000 0.000 6.131 0.000 0.000 0.000 3.569" Properties=species:S:1:pos:R:3 pbc="T T T"
Nb 1.972 1.094 1.784
Nb 1.094 4.160 1.784
Nb 5.038 1.972 1.784
Nb 4.160 5.038 1.784
Be 3.787 0.721 0.000
Be 5.410 3.787 0.000
Be 2.345 5.410 0.000
Be 0.721 2.345 0.000
Ga 3.066 3.066 0.000
Ga 0.000 0.000 0.000
```

Values from the calculation:
Energy relative to the lowest polymorph listed for this composition = 26 meV/atom
Total magnetic moment = 0.00 μB per cell
Energy relative to the elements = -1.319 eV/f.u.

=====

# 5
Computed, not measured: a geometry-optimized Be16Nb2Ga structure at the PBE level of DFT.

Geometry as extended XYZ:
```
19
Lattice="5.608 0.019 0.653 0.584 5.577 0.653 0.021 0.019 5.645" Properties=species:S:1:pos:R:3 pbc="T T T"
Be 2.110 3.893 0.656
Be 0.311 2.734 0.348
Be 2.752 0.034 0.348
Be 0.194 1.707 4.133
Be 0.038 0.034 2.773
Be 3.915 0.021 2.170
Be 4.910 1.949 2.724
Be 3.750 0.966 4.197
Be 4.086 1.707 0.656
Be 1.718 0.021 4.133
Be 0.665 0.601 0.744
Be 2.156 1.949 5.184
Be 0.415 3.893 2.170
Be 2.434 4.688 2.724
Be 1.339 3.634 4.197
Be 4.020 3.634 1.801
Nb 2.113 1.910 2.365
Nb 4.063 3.672 4.547
Ga 5.600 5.062 6.267
```

Values from the calculation:
Total magnetic moment = 0.00 μB per cell
Energy relative to the elements = -3.384 eV/f.u.

=====

# 6
Computed, not measured: a geometry-optimized BeNb2Ga2 structure at the PBE level of DFT.

Geometry as extended XYZ:
```
10
Lattice="-3.941 3.045 -3.788 -4.263 -4.508 0.811 -1.486 1.967 3.127" Properties=species:S:1:pos:R:3 pbc="T T T"
Be 0.000 0.000 0.000
Be -4.102 -0.731 -1.489
Ga -6.116 -0.247 -2.750
Ga -3.098 1.321 -2.303
Ga -2.087 -1.216 -0.227
Ga -5.106 -2.784 -0.674
Nb -6.920 -0.697 -0.314
Nb -5.398 2.027 -1.305
Nb -4.291 -1.523 1.454
Nb -2.769 1.201 0.464
```

Values from the calculation:
Energy relative to the lowest polymorph listed for this composition = 0 meV/atom
Total magnetic moment = 0.00 μB per cell
Energy relative to the elements = -0.337 eV/f.u.

=====

# 7
Computed, not measured: a geometry-optimized BeNbGa3 structure at the PBE level of DFT.

Geometry as extended XYZ:
```
5
Lattice="-4.247 -0.921 -0.159 0.637 -3.394 2.643 -0.683 2.558 3.450" Properties=species:S:1:pos:R:3 pbc="T T T"
Ga -0.342 1.279 1.725
Ga -2.123 -0.460 -0.079
Ga 0.319 -1.697 1.321
Be 0.000 0.000 0.000
Nb -2.147 -0.879 2.967
```

Values from the calculation:
Energy relative to the lowest polymorph listed for this composition = 0 meV/atom
Total magnetic moment = 0.00 μB per cell
Energy relative to the elements = 2.899 eV/f.u.

=====

# 8
Computed, not measured: a geometry-optimized Be4Nb3Ga2 structure at the PBE level of DFT.

Geometry as extended XYZ:
```
9
Lattice="-1.170 -2.587 -2.381 4.265 2.106 -1.501 1.784 -5.177 4.748" Properties=species:S:1:pos:R:3 pbc="T T T"
Ga 0.844 -2.562 -0.515
Ga 4.036 -3.096 1.381
Nb 3.106 -1.098 -0.332
Nb 0.000 0.000 0.000
Nb 1.773 -4.559 1.199
Be 3.751 -3.681 -0.726
Be 1.128 -1.976 1.593
Be 3.671 -4.479 3.063
Be 1.208 -1.179 -2.196
```

Values from the calculation:
Total magnetic moment = 0.00 μB per cell
Energy relative to the elements = -2.255 eV/f.u.

=====

What did the fifth record say?
Computed, not measured: a geometry-optimized Be16Nb2Ga structure at the PBE level of DFT.

Geometry as extended XYZ:
```
19
Lattice="5.608 0.019 0.653 0.584 5.577 0.653 0.021 0.019 5.645" Properties=species:S:1:pos:R:3 pbc="T T T"
Be 2.110 3.893 0.656
Be 0.311 2.734 0.348
Be 2.752 0.034 0.348
Be 0.194 1.707 4.133
Be 0.038 0.034 2.773
Be 3.915 0.021 2.170
Be 4.910 1.949 2.724
Be 3.750 0.966 4.197
Be 4.086 1.707 0.656
Be 1.718 0.021 4.133
Be 0.665 0.601 0.744
Be 2.156 1.949 5.184
Be 0.415 3.893 2.170
Be 2.434 4.688 2.724
Be 1.339 3.634 4.197
Be 4.020 3.634 1.801
Nb 2.113 1.910 2.365
Nb 4.063 3.672 4.547
Ga 5.600 5.062 6.267
```

Values from the calculation:
Total magnetic moment = 0.00 μB per cell
Energy relative to the elements = -3.384 eV/f.u.

=====

> What is the energy relative to the elements in the fifth record?

-3.384 eV/f.u.

=====

> What is the formula in the fourth record?

Be2Nb2Ga

=====

> The highest energy relative to the elements belongs to which entry?

BeNbGa3